A relaxed Cd2AgSb crystal, computed with PBE-GGA.

Cell: 5.0001 5.0001 6.0243 Å, 101.32 101.32 38.92°
Atoms (fractional coordinates):
Cd  0.0000  0.0000  0.0000
Cd  0.2483  0.2483  0.7629
Ag  0.7432  0.7432  0.2064
Sb  0.4891  0.4891  0.4686

## Properties
Formation energy from raw total energies, eV/atom: 0.048
Excess energy over the best structure of this formula in the dataset, meV/atom: 0.0
Space group: No. 8